# 1
MnAuSe2Br | PBE | relaxed

Formation energy from raw total energies ... 0.43 eV per atom
Symmetry ... P4/mmm
Polymorph energy (0 for the lowest one) ... 0 meV/atom

Cell lengths 4.5368, 4.5368, 5.4016 Å; angles 90.00, 90.00, 90.00 degrees
Element x y z (fractional)
Mn  0.0000  0.0000  0.0000
Au  0.5000  0.5000  0.5000
Se  0.0000  0.5000  0.0000
Se  0.5000  0.0000  0.0000
Br  0.0000  0.0000  0.5000

=====

# 2
Mn4Ga3Co8Ge | PBE | relaxed

Energy relative to the elements ... -0.24 eV per atom
Symmetry ... R-3m

Cell lengths 13.4056, 13.4056, 13.4056 Å; angles 17.35, 17.35, 17.35 degrees
Element x y z (fractional)
Mn  0.1243  0.1243  0.1243
Mn  0.3750  0.3750  0.3750
Mn  0.6250  0.6250  0.6250
Mn  0.8757  0.8757  0.8757
Ga  0.0000  0.0000  0.0000
Ga  0.2500  0.2500  0.2500
Ga  0.7500  0.7500  0.7500
Co  0.0626  0.0626  0.0626
Co  0.1868  0.1868  0.1868
Co  0.3125  0.3125  0.3125
Co  0.4381  0.4381  0.4381
Co  0.5619  0.5619  0.5619
Co  0.6875  0.6875  0.6875
Co  0.8132  0.8132  0.8132
Co  0.9374  0.9374  0.9374
Ge  0.5000  0.5000  0.5000

=====

# 3
Sc2NbN | PBE | relaxed

Formation energy from raw total energies ... -0.63 eV per atom
Symmetry ... R-3m

Cell lengths 8.3948, 8.3948, 8.3948 Å; angles 21.29, 21.29, 21.29 degrees
Element x y z (fractional)
Sc  0.1159  0.1159  0.1159
Sc  0.8841  0.8841  0.8841
Nb  0.0000  0.0000  0.0000
N  0.5000  0.5000  0.5000

=====

One value per record, in order, for spin magnetization: 0.00 17.29 0.39 μB/f.u..
One value per record, in order, for raw total energy: -0.13918 -0.25498 -0.30863 Ha/atom.